This record from Alexandria describes SrLaBeSb2 after structural relaxation. The functional is PBE. Values from VASP.

Properties
- SG: P4/mmm
- Uncorrected formation energy: 0.8655 eV per atom

Quantum ESPRESSO input file:
```
&SYSTEM
  ibrav = 0, nat = 5, ntyp = 4
/
ATOMIC_SPECIES
Sb 121.76 Sb.upf
Be 9.01 Be.upf
Sr 87.62 Sr.upf
La 138.91 La.upf
ATOMIC_POSITIONS angstrom
Sb 1.974 -0.243 2.257
Sb -2.217 -0.846 1.848
Be 0.316 -4.406 3.258
Sr 0.560 -3.318 -0.847
La 0.000 0.000 0.000
CELL_PARAMETERS angstrom
-4.435 -1.691 3.696
1.119 -6.635 -1.693
3.947 -0.486 4.513
```